# 1
Material: TaZn5
Method: DFT, meta-GGA SCAN
State: PBEsol geometry

Output
**Space-group type**: Cm, No. 8
**Total magnetic moment**: 0.00 μB per formula unit
**Electronic total energy**: -22.33 eV/atom
**D(E_F)**: 1.41 states/eV/f.u.
**Energy of formation from the pure elements**: 0.8 kcal/mol of atoms

extended XYZ file:
```
6
Lattice="-0.9478 0.4534 -2.3891 -4.2684 -1.4123 2.8509 0.6246 6.6541 1.0150" Properties=species:S:1:pos:R:3 pbc="T T T"
Zn -1.8337 2.1246 -0.2949
Zn -0.1482 3.9539 0.8092
Zn -3.5026 0.9285 1.5658
Zn -2.7361 3.5668 1.7624
Zn -2.0279 5.9871 0.5152
Ta -4.5864 5.6744 1.4709
```

***

# 2
Material: CrAu3
Method: DFT, meta-GGA SCAN
State: PBEsol geometry

Output
**Space-group type**: Fm-3m, No. 225
**Total magnetic moment**: 4.02 μB per formula unit
**Electronic total energy**: -56.56 eV/atom
**D(E_F)**: 1.91 states/eV/f.u.
**Energy of formation from the pure elements**: -2.2 kcal/mol of atoms

extended XYZ file:
```
4
Lattice="-4.4872 -0.4617 -0.4334 -1.6954 -2.9878 -2.9554 -2.0464 -3.7560 1.4969" Properties=species:S:1:pos:R:3 pbc="T T T"
Au 0.0000 0.0000 0.0000
Au -6.1717 -5.4041 -1.4190
Au -2.0572 -1.8014 -0.4730
Cr -4.1145 -3.6027 -0.9460
```

***

# 3
Material: YMgCu2
Method: DFT, meta-GGA SCAN
State: PBEsol geometry

Output
**Space-group type**: Cmcm, No. 63
**Total magnetic moment**: 0.00 μB per formula unit
**Electronic total energy**: -15.97 eV/atom
**D(E_F)**: 2.18 states/eV/f.u.
**Energy of formation from the pure elements**: -3.9 kcal/mol of atoms

extended XYZ file:
```
8
Lattice="3.9508 0.0000 0.0000 -1.9754 5.9393 0.0000 0.0000 0.0000 6.3533" Properties=species:S:1:pos:R:3 pbc="T T T"
Mg 0.0000 3.2735 4.7649
Mg 1.9754 2.6658 1.5883
Y 0.0000 5.2954 1.5883
Y 1.9754 0.6439 4.7649
Cu 1.9754 4.7089 5.9789
Cu 1.9754 4.7089 3.5510
Cu 0.0000 1.2304 2.8023
Cu 0.0000 1.2304 0.3744
```

***

# 4
Material: KLaSn2Au
Method: DFT, meta-GGA SCAN
State: PBEsol geometry

Output
**Space-group type**: P4/mmm, No. 123
**Total magnetic moment**: 0.00 μB per formula unit
**Electronic total energy**: -37.95 eV/atom
**D(E_F)**: 3.77 states/eV/f.u.
**Energy of formation from the pure elements**: 12.4 kcal/mol of atoms

extended XYZ file:
```
5
Lattice="-5.1508 0.9142 0.1232 -0.9619 -5.2322 -1.3870 -0.1191 -1.3879 5.3183" Properties=species:S:1:pos:R:3 pbc="T T T"
Sn -0.0596 -0.6940 2.6592
Sn -0.4809 -2.6161 -0.6935
K 0.0000 0.0000 0.0000
Au -2.5754 0.4571 0.0616
La -3.1159 -2.8530 2.0273
```